Here is a PBEsol-optimized structure of CdMoW2 from Alexandria via LeMat-Bulk. Energies are from meta-GGA SCAN.

Cell and atoms, written as POSCAR:
```
CdMoW2
1.0
-0.076 3.928 0.312
-3.832 -0.001 -0.922
0.982 -2.303 4.343
Cd Mo W
1 1 2
Cartesian
-1.954 1.964 -0.305
0.000 0.000 0.000
-0.524 1.794 2.175
-2.402 -0.170 1.558
```

Properties
- energy of formation from the pure elements (eV per atom) = 0.61
- total magnetization (μB/f.u.) = 0.00
- calculated density (kg/m³) = 14779

---

Here is a PBEsol-optimized structure of SiSbTe2W from Alexandria via LeMat-Bulk. Energies are from meta-GGA SCAN.

Cell and atoms, written as POSCAR:
```
SiSbTe2W
1.0
4.973 0.000 0.000
0.000 5.049 0.000
0.000 0.000 5.049
Te Sb Si W
2 1 1 1
Cartesian
0.000 2.524 0.000
0.000 0.000 2.524
2.487 0.000 0.000
0.000 0.000 0.000
2.487 2.524 2.524
```

Properties
- total magnetization (μB/f.u.) = 2.67
- ΔE_f (raw) (kJ/mol of atoms) = 146
- calculated density (kg/m³) = 7714

---

Here is a PBEsol-optimized structure of Li3ScTa from Alexandria via LeMat-Bulk. Energies are from meta-GGA SCAN.

Cell and atoms, written as POSCAR:
```
Li3ScTa
1.0
-1.043 -4.599 1.003
-0.735 -0.856 -4.688
4.649 -1.167 -0.516
Li Sc Ta
3 1 1
Cartesian
-0.522 -2.300 0.502
-0.368 -0.428 -2.344
2.325 -0.584 -0.258
1.436 -3.311 -2.100
0.000 0.000 0.000
```

Properties
- energy of formation from the pure elements (eV per atom) = 1.33
- total magnetization (μB/f.u.) = 4.19
- calculated density (kg/m³) = 3655

---

Here is a PBEsol-optimized structure of LaMnTc from Alexandria via LeMat-Bulk. Energies are from meta-GGA SCAN.

Cell and atoms, written as POSCAR:
```
LaMnTc
1.0
-3.082 1.918 2.525
-3.094 -2.469 1.970
0.076 -0.555 4.386
Tc Mn La
1 1 1
Cartesian
-3.050 -0.553 4.441
0.000 0.000 0.000
-1.525 -0.277 2.220
```

Properties
- distance to the lowest polymorph of the same formula (eV per atom) = 0.423
- energy of formation from the pure elements (eV per atom) = 1.24
- total magnetization (μB/f.u.) = 4.74
- calculated density (kg/m³) = 7927

---

Here is a PBEsol-optimized structure of Ca2NiSb from Alexandria via LeMat-Bulk. Energies are from meta-GGA SCAN.

Cell and atoms, written as POSCAR:
```
Ca2NiSb
1.0
-3.604 -0.723 0.839
-0.955 -0.999 3.508
-2.647 7.277 3.378
Ni Sb Ca
1 1 2
Cartesian
-3.603 2.777 3.862
0.000 0.000 0.000
-5.359 3.847 5.715
-1.847 1.708 2.009
```

Properties
- total magnetization (μB/f.u.) = 0.00
- ΔE_f (raw) (kJ/mol of atoms) = -16
- calculated density (kg/m³) = 4306

---

Here is a PBEsol-optimized structure of ZrSc2Tl from Alexandria via LeMat-Bulk. Energies are from meta-GGA SCAN.

Cell and atoms, written as POSCAR:
```
ZrSc2Tl
1.0
-0.926 -2.960 -1.035
3.847 -2.239 2.963
-3.766 1.697 3.680
Sc Tl Zr
2 1 1
Cartesian
0.251 -3.047 3.324
-1.095 -0.456 2.284
-0.463 -1.480 -0.518
1.924 -1.120 1.481
```

Properties
- distance to the lowest polymorph of the same formula (eV per atom) = 0.117
- energy of formation from the pure elements (eV per atom) = -0.17
- total magnetization (μB/f.u.) = 0.00
- calculated density (kg/m³) = 7176

---

Here is a PBEsol-optimized structure of KYCd2 from Alexandria via LeMat-Bulk. Energies are from meta-GGA SCAN.

Cell and atoms, written as POSCAR:
```
KYCd2
1.0
3.417 0.000 0.000
0.000 5.632 -0.155
-1.708 -1.818 5.829
Y K Cd
1 1 2
Cartesian
0.000 3.536 3.133
0.000 0.793 5.516
0.000 5.423 0.099
1.708 0.692 2.522
```

Properties
- distance to the lowest polymorph of the same formula (eV per atom) = 0.138
- energy of formation from the pure elements (eV per atom) = -0.06
- total magnetization (μB/f.u.) = 0.00
- calculated density (kg/m³) = 5268

---

Here is a PBEsol-optimized structure of ScSi2As from Alexandria via LeMat-Bulk. Energies are from meta-GGA SCAN.

Cell and atoms, written as POSCAR:
```
ScSi2As
1.0
-1.732 1.811 2.312
-3.316 -3.306 0.106
4.556 -1.193 1.833
Si As Sc
2 1 1
Cartesian
0.115 -0.031 2.625
0.085 -0.081 0.127
1.958 -1.870 2.932
-0.618 -2.646 1.610
```

Properties
- total magnetization (μB/f.u.) = 0.00
- ΔE_f (raw) (kJ/mol of atoms) = -17
- calculated density (kg/m³) = 4420

---

Here is a PBEsol-optimized structure of LaSbIr from Alexandria via LeMat-Bulk. Energies are from meta-GGA SCAN.

Cell and atoms, written as POSCAR:
```
LaSbIr
1.0
-3.803 1.530 0.235
0.211 -0.168 4.502
1.356 3.706 -2.184
Ir La Sb
1 1 1
Cartesian
-1.902 0.765 0.118
0.974 2.415 0.045
-1.309 1.888 2.391
```

Properties
- total magnetization (μB/f.u.) = 0.00
- ΔE_f (raw) (kJ/mol of atoms) = -95
- calculated density (kg/m³) = 10395

---

Here is a PBEsol-optimized structure of Ta4Pt from Alexandria via LeMat-Bulk. Energies are from meta-GGA SCAN.

Cell and atoms, written as POSCAR:
```
Ta4Pt
1.0
-1.803 2.615 -1.226
-4.852 -0.153 2.082
0.642 4.157 3.195
Ta Pt
4 1
Cartesian
-1.675 4.020 1.581
-3.823 5.332 2.812
-2.190 1.287 1.239
-4.338 2.599 2.470
0.000 0.000 0.000
```

Properties
- energy of formation from the pure elements (eV per atom) = -0.36
- total magnetization (μB/f.u.) = 0.00
- calculated density (kg/m³) = 17924

---

Here is a PBEsol-optimized structure of TcRh2 from Alexandria via LeMat-Bulk. Energies are from meta-GGA SCAN.

Cell and atoms, written as POSCAR:
```
TcRh2
1.0
-0.913 2.030 -1.465
-3.138 -1.976 -0.781
0.242 1.519 4.378
Rh Tc
2 1
Cartesian
-1.197 1.038 2.185
-2.612 0.535 -0.053
0.000 0.000 0.000
```

Properties
- distance to the lowest polymorph of the same formula (eV per atom) = 0.063
- energy of formation from the pure elements (eV per atom) = -0.12
- total magnetization (μB/f.u.) = 0.00
- calculated density (kg/m³) = 12425

---

Here is a PBEsol-optimized structure of KCrAu2 from Alexandria via LeMat-Bulk. Energies are from meta-GGA SCAN.

Cell and atoms, written as POSCAR:
```
KCrAu2
1.0
-0.789 0.236 -2.946
-0.211 -4.993 1.244
-5.682 1.715 1.658
Au Cr K
2 1 1
Cartesian
-6.344 -2.896 -0.122
-4.325 -1.264 1.057
-3.956 0.897 -0.457
-1.972 -1.846 -1.208
```

Properties
- distance to the lowest polymorph of the same formula (eV per atom) = 0.000
- energy of formation from the pure elements (eV per atom) = 0.03
- total magnetization (μB/f.u.) = 4.58
- calculated density (kg/m³) = 8825